No. 1
Material: Al2GaCu12
Method: DFT, PBE
State: relaxed

DFT formation energy   1.505 eV per formula unit
Electronic total energy   -3.877 eV per atom
M_tot   0.00 μB per cell

a b c (Å): 4.753 4.753 18.335
angles (deg): 90.00 90.00 90.00
Space group P4/nbm (No. 125, origin choice 2)
Symmetry-distinct sites (fractional):
Al 0.250 0.750 0.221
Ga 0.250 0.750 0.500
Cu 0.062 0.562 0.386
Cu 0.074 0.574 0.061
Cu 0.250 0.250 0.158
Cu 0.250 0.250 0.288


No. 2
Material: LiBiS2N
Method: DFT, PBE
State: relaxed

ΔE_f (raw)   0.6940 eV per atom
Electronic total energy   -3.781 eV per atom
Relative energy among the computed polymorphs   53 meV per atom
M_tot   0.00 μB per cell

a b c (Å): 4.724 4.724 3.721
angles (deg): 90.00 90.00 90.00
Space group P4/mmm (No. 123)
Symmetry-distinct sites (fractional):
Li 0.000 0.000 0.000
Bi 0.500 0.500 0.500
S 0.000 0.500 0.000
N 0.000 0.000 0.500


No. 3
Material: TmTiGaRu
Method: DFT, PBE
State: relaxed

DFT formation energy   -1.554 eV per formula unit
Electronic total energy   -6.556 eV per atom
M_tot   0.02 μB per cell

a b c (Å): 6.576 6.576 6.576
angles (deg): 90.00 90.00 90.00
Space group F-43m (No. 216)
Symmetry-distinct sites (fractional):
Tm 0.000 0.000 0.000
Ti 0.000 0.000 0.500
Ga 0.250 0.250 0.750
Ru 0.250 0.250 0.250


No. 4
Material: Cu2HgI4
Method: DFT, PBE
State: relaxed

ΔE_f (raw)   -0.2134 eV per atom
Electronic total energy   -2.313 eV per atom
M_tot   0.00 μB per cell

a b c (Å): 6.156 6.156 6.442
angles (deg): 90.00 90.00 90.00
Space group P-42m (No. 111)
Symmetry-distinct sites (fractional):
Cu 0.000 0.500 0.000
Hg 0.000 0.000 0.500
I 0.264 0.264 0.770


No. 5
Material: CdSi2W
Method: DFT, PBE
State: relaxed

ΔE_f (raw)   0.4633 eV per atom
Electronic total energy   -5.715 eV per atom
M_tot   0.00 μB per cell

a b c (Å): 2.8553 2.8553 30.1611
angles (deg): 90.00 90.00 120.00
Space group R3m (No. 160, hexagonal axes)
Symmetry-distinct sites (fractional):
Cd 0.0000 0.0000 0.0000
Si 0.0000 0.0000 0.2211
Si 0.0000 0.0000 0.4883
W 0.0000 0.0000 0.7541


No. 6
Material: SrCdPt2
Method: DFT, PBE
State: relaxed

DFT formation energy   -1.549 eV per formula unit
Electronic total energy   -4.057 eV per atom
M_tot   0.00 μB per cell

a b c (Å): 4.193 4.193 9.388
angles (deg): 90.00 90.00 90.00
Space group I-4m2 (No. 119)
Symmetry-distinct sites (fractional):
Sr 0.000 0.000 0.000
Cd 0.000 0.500 0.750
Pt 0.000 0.000 0.500
Pt 0.000 0.500 0.250


Which of these has the lowest electronic total energy? TmTiGaRu


Which formula does entry 1 have? Al2GaCu12